Here is a relaxed structure of LiZn4Au2 from Alexandria via LeMat-Bulk. Energies are from PBE-GGA.

Results
Distance to the lowest polymorph of the same formula   0 kJ/mol of formula units
Crystal system   trigonal
Symmetry   No. 166
VASP energy   -2.21 eV per atom
Energy relative to the elements   -273 meV/atom

Cell: 4.413 4.413 7.401 Å, 72.65 72.65 60.00°
Atoms (fractional coordinates):
Li1 0.000 0.000 0.000
Zn1 0.871 0.871 0.387
Zn2 0.129 0.129 0.613
Zn3 0.614 0.614 0.159
Zn4 0.386 0.386 0.841
Au1 0.745 0.745 0.764
Au2 0.255 0.255 0.236

Here is a relaxed structure of Tm3ZrCd12 from Alexandria via LeMat-Bulk. Energies are from PBE-GGA.

Results
Crystal system   tetragonal
Symmetry   No. 123
VASP energy   -2.25 eV per atom
Energy relative to the elements   -188 meV/atom

Cell: 4.449 4.449 18.661 Å, 90.00 90.00 90.00°
Atoms (fractional coordinates):
Tm1 0.000 0.000 0.245
Tm2 0.000 0.000 0.500
Tm3 0.000 0.000 0.755
Zr1 0.000 0.000 0.000
Cd1 0.500 0.500 0.000
Cd2 0.500 0.500 0.245
Cd3 0.500 0.500 0.500
Cd4 0.500 0.500 0.755
Cd5 0.500 0.000 0.119
Cd6 0.500 0.000 0.372
Cd7 0.500 0.000 0.628
Cd8 0.500 0.000 0.881
Cd9 0.000 0.500 0.119
Cd10 0.000 0.500 0.372
Cd11 0.000 0.500 0.628
Cd12 0.000 0.500 0.881

Here is a relaxed structure of Pr3I3N2 from Alexandria via LeMat-Bulk. Energies are from PBE-GGA.

Results
Formation energy from raw total energies   -1.34 eV per atom
Crystal system   orthorhombic
Symmetry   No. 63
VASP energy   -5.79 eV per atom

Cell: 4.142 9.107 14.028 Å, 90.00 90.00 103.14°
Atoms (fractional coordinates):
Pr1 0.674 0.348 0.471
Pr2 0.326 0.652 0.971
Pr3 0.674 0.348 0.029
Pr4 0.326 0.652 0.529
Pr5 0.272 0.544 0.250
Pr6 0.728 0.456 0.750
I1 0.914 0.828 0.381
I2 0.086 0.172 0.881
I3 0.914 0.828 0.119
I4 0.086 0.172 0.619
I5 0.624 0.247 0.250
I6 0.376 0.753 0.750
N1 0.768 0.536 0.913
N2 0.232 0.464 0.413
N3 0.768 0.536 0.587
N4 0.232 0.464 0.087